! BaMg6CrO8 | Alexandria | PBE+U | optimized geometry; values from VASP
! magnetization: 3.99 μB/cell
! crystal system: tetragonal
! distance to the lowest polymorph of the same formula: 0 meV/atom
! mass density: 4.0 g/cm3
! energy: -5.836 eV/atom
! space group: P4/mmm (123)
&SYSTEM
  ibrav = 0, nat = 16, ntyp = 4
/
ATOMIC_SPECIES
O 16.00 O.upf
Mg 24.30 Mg.upf
Ba 137.33 Ba.upf
Cr 52.00 Cr.upf
ATOMIC_POSITIONS angstrom
O 2.3522 2.3522 2.2023
O 0.0000 0.0000 2.4730
O 0.0000 2.3522 4.3735
O 0.0000 0.0000 6.2741
O 2.3522 0.0000 0.0000
O 2.3522 2.3522 6.5448
O 2.3522 0.0000 4.3735
O 0.0000 2.3522 0.0000
Mg 2.3522 0.0000 6.4394
Mg 0.0000 2.3522 6.4394
Mg 2.3522 2.3522 4.3735
Mg 0.0000 2.3522 2.3077
Mg 2.3522 0.0000 2.3077
Mg 0.0000 0.0000 4.3735
Ba 0.0000 0.0000 0.0000
Cr 2.3522 2.3522 0.0000
CELL_PARAMETERS angstrom
4.7045 0.0000 0.0000
0.0000 4.7045 0.0000
0.0000 0.0000 8.7471